Record 1
Here is a relaxed structure of CaLa3Ru from the Alexandria database. Energies are from PBE.

abc: 4.5517 4.5517 22.3337
angles: 90.00 90.00 120.00
Element x y z (fractional)
Ru 0.3333 0.6667 0.7500
Ru 0.6667 0.3333 0.2500
Ca 0.0000 0.0000 0.0000
Ca 0.0000 0.0000 0.5000
La 0.0000 0.0000 0.2500
La 0.0000 0.0000 0.7500
La 0.3333 0.6667 0.8743
La 0.3333 0.6667 0.6257
La 0.6667 0.3333 0.3743
La 0.6667 0.3333 0.1257

SG: P6_3/mmc, No. 194
Energy above the most stable polymorph in this dataset: 372.7 meV per atom
Density of states at the Fermi level: 13.41 states/eV/f.u.
Energy of formation from the pure elements: 201 meV/atom

---

Record 2
Here is a relaxed structure of LiLaNb2O7 from the Alexandria database. Energies are from PBE.

abc: 10.4409 10.4409 10.4409
angles: 158.38 158.38 30.76
Element x y z (fractional)
Nb 0.6150 0.6150 0.0000
Nb 0.3850 0.3850 0.0000
La 0.0000 0.0000 0.0000
O 0.9061 0.4061 0.5000
O 0.5000 0.5000 0.0000
O 0.5939 0.0939 0.5000
O 0.7049 0.7049 0.0000
O 0.4086 0.9086 0.5000
O 0.2951 0.2951 0.0000
O 0.0914 0.5914 0.5000
Li 0.7500 0.2500 0.5000

SG: I-4m2, No. 119
Raw formation energy: -2.746 eV per atom
Density of states at the Fermi level: 0.00 states/eV/f.u.